Below is a geometry-optimized Tb6PrEr12 structure, with properties calculated at the PBE level.

```
Tb6PrEr12
1.0
7.544 4.356 3.266
-7.544 4.356 3.266
0.000 -8.711 3.266
Tb Pr Er
6 1 12
direct
0.251 0.681 0.681
0.319 0.319 0.749
0.319 0.749 0.319
0.681 0.251 0.681
0.681 0.681 0.251
0.749 0.319 0.319
0.000 0.000 0.000
0.109 0.500 0.891
0.109 0.891 0.500
0.158 0.371 0.371
0.371 0.158 0.371
0.371 0.371 0.158
0.500 0.109 0.891
0.500 0.891 0.109
0.629 0.629 0.842
0.629 0.842 0.629
0.842 0.629 0.629
0.891 0.109 0.500
0.891 0.500 0.109
```

Calculated values
Magnetic moment (μB per atom): 0.000
Formation energy (meV per atom): 441
DOS at the Fermi energy (states/eV/f.u.): 24.2
Polymorph energy (0 for the lowest one) (eV per atom): 0.2816
SG: R-3m, No. 166

***

Below is a geometry-optimized Ca4AsSeCl2 structure, with properties calculated at the PBE level.

```
Ca4AsSeCl2
1.0
7.146 0.000 0.000
0.000 4.241 0.000
-2.504 0.000 6.890
Ca As Se Cl
4 1 1 2
direct
0.228 0.000 0.236
0.231 0.500 0.751
0.769 0.500 0.249
0.772 0.000 0.764
0.000 0.500 0.000
0.000 0.000 0.500
0.500 0.000 0.000
0.500 0.500 0.500
```

Calculated values
Formation energy from raw total energies (meV per atom): -1716
Magnetic moment (μB per atom): 0.000
DOS at the Fermi energy (states/eV/f.u.): 3.5
SG: P2/m, No. 10

***

Below is a geometry-optimized AlHgPt2 structure, with properties calculated at the PBE level.

```
AlHgPt2
1.0
-1.945 1.945 4.397
1.945 -1.945 4.397
1.945 1.945 -4.397
Al Hg Pt
1 1 2
direct
0.000 0.000 0.000
0.250 0.750 0.500
0.500 0.500 0.000
0.750 0.250 0.500
```

Calculated values
Magnetic moment (μB per atom): 0.000
Formation energy (meV per atom): -302
DOS at the Fermi energy (states/eV/f.u.): 1.7
Polymorph energy (0 for the lowest one) (eV per atom): 0.2872
SG: I-4m2, No. 119

***

Below is a geometry-optimized Mn2HN structure, with properties calculated at the PBE level.

```
Mn2HN
1.0
0.000 2.486 2.486
2.486 0.000 2.486
2.486 2.486 0.000
Mn H N
2 1 1
direct
0.250 0.250 0.250
0.750 0.750 0.750
0.000 0.000 0.000
0.500 0.500 0.500
```

Calculated values
Magnetic moment (μB per atom): 0.973
DOS at the Fermi energy (states/eV/f.u.): 3.3
Polymorph energy (0 for the lowest one) (eV per atom): 0.5456
SG: Fm-3m, No. 225

***

Below is a geometry-optimized KTcBr6 structure, with properties calculated at the PBE level.

```
KTcBr6
1.0
4.358 -4.610 0.000
4.358 4.610 0.000
-3.724 0.000 6.993
K Tc Br
1 1 6
direct
0.000 0.000 0.000
0.500 0.500 0.500
0.186 0.573 0.246
0.225 0.225 0.519
0.427 0.814 0.754
0.573 0.186 0.246
0.775 0.775 0.481
0.814 0.427 0.754
```

Calculated values
Formation energy from raw total energies (meV per atom): -633
Magnetic moment (μB per atom): 0.243
DOS at the Fermi energy (states/eV/f.u.): 5.9
Polymorph energy (0 for the lowest one) (eV per atom): 0.0000
SG: C2/m, No. 12

***

Below is a geometry-optimized RbNiH2 structure, with properties calculated at the PBE level.

```
RbNiH2
1.0
1.556 0.899 5.818
-1.556 0.899 5.818
0.000 -1.797 5.818
Rb Ni H
1 1 2
direct
0.000 0.000 0.000
0.500 0.500 0.500
0.206 0.206 0.206
0.794 0.794 0.794
```

Calculated values
Magnetic moment (μB per atom): 0.000
DOS at the Fermi energy (states/eV/f.u.): 2.3
Polymorph energy (0 for the lowest one) (eV per atom): 0.3353
SG: R-3m, No. 166

***

Below is a geometry-optimized Ba2SrCu structure, with properties calculated at the PBE level.

```
Ba2SrCu
1.0
4.084 0.000 0.000
0.000 4.084 0.000
0.000 0.000 10.578
Ba Sr Cu
2 1 1
direct
0.000 0.000 0.177
0.000 0.000 0.823
0.500 0.500 0.500
0.500 0.500 0.000
```

Calculated values
Magnetic moment (μB per atom): 0.000
Formation energy (meV per atom): 29
DOS at the Fermi energy (states/eV/f.u.): 4.2
Polymorph energy (0 for the lowest one) (eV per atom): 0.0185
SG: P4/mmm, No. 123

***

Below is a geometry-optimized RbTiPO5 structure, with properties calculated at the PBE level.

```
RbTiPO5
1.0
13.136 0.000 0.000
0.000 6.592 0.000
0.000 0.000 10.672
Rb Ti P O
8 8 8 40
direct
0.106 0.193 0.000
0.117 0.783 0.250
0.383 0.283 0.750
0.394 0.693 0.500
0.606 0.307 0.000
0.617 0.717 0.250
0.883 0.217 0.750
0.894 0.807 0.500
0.129 0.498 0.571
0.247 0.763 0.820
0.253 0.263 0.320
0.371 0.998 0.071
0.629 0.002 0.571
0.747 0.737 0.820
0.753 0.237 0.320
0.871 0.502 0.071
0.000 0.336 0.315
0.000 0.664 0.815
0.180 0.003 0.563
0.320 0.503 0.063
0.500 0.164 0.315
0.500 0.836 0.815
0.680 0.497 0.563
0.820 0.997 0.063
0.014 0.481 0.426
0.015 0.537 0.692
0.095 0.801 0.837
0.097 0.204 0.293
0.114 0.192 0.592
0.114 0.814 0.533
0.221 0.457 0.433
0.223 0.551 0.685
0.249 0.460 0.176
0.250 0.044 0.447
0.250 0.544 0.947
0.251 0.960 0.676
0.277 0.051 0.185
0.279 0.957 0.933
0.386 0.314 0.033
0.386 0.692 0.092
0.403 0.704 0.793
0.405 0.301 0.337
0.485 0.037 0.192
0.486 0.981 0.926
0.514 0.019 0.426
0.515 0.963 0.692
0.595 0.699 0.837
0.597 0.296 0.293
0.614 0.308 0.592
0.614 0.686 0.533
0.721 0.043 0.433
0.723 0.949 0.685
0.749 0.040 0.176
0.750 0.456 0.447
0.750 0.956 0.947
0.751 0.540 0.676
0.777 0.449 0.185
0.779 0.543 0.933
0.886 0.186 0.033
0.886 0.808 0.092
0.903 0.796 0.793
0.905 0.199 0.337
0.985 0.463 0.192
0.986 0.519 0.926
```

Calculated values
Formation energy from raw total energies (meV per atom): -2603
Magnetic moment (μB per atom): 0.000
DOS at the Fermi energy (states/eV/f.u.): 0.0
SG: Pna2_1, No. 33

***

Below is a geometry-optimized HoBeSiPt2 structure, with properties calculated at the PBE level.

```
HoBeSiPt2
1.0
-2.028 2.028 5.120
2.028 -2.028 5.120
2.028 2.028 -5.120
Ho Be Si Pt
1 1 1 2
direct
0.000 0.000 0.000
0.750 0.250 0.500
0.250 0.750 0.500
0.370 0.370 0.000
0.630 0.630 0.000
```

Calculated values
Formation energy from raw total energies (meV per atom): -949
Magnetic moment (μB per atom): 0.000
DOS at the Fermi energy (states/eV/f.u.): 3.1
SG: I-4m2, No. 119

***

Below is a geometry-optimized TlSiNi2 structure, with properties calculated at the PBE level.

```
TlSiNi2
1.0
3.278 -1.914 0.000
3.278 1.914 0.000
-1.367 0.000 5.360
Tl Si Ni
1 1 2
direct
0.000 0.000 0.000
0.500 0.500 0.500
0.192 0.192 0.622
0.808 0.808 0.378
```

Calculated values
Formation energy from raw total energies (meV per atom): -49
Magnetic moment (μB per atom): 0.000
DOS at the Fermi energy (states/eV/f.u.): 2.3
Polymorph energy (0 for the lowest one) (eV per atom): 0.0160
SG: C2/m, No. 12

***

Below is a geometry-optimized NiMo2Se structure, with properties calculated at the PBE level.

```
NiMo2Se
1.0
3.692 0.000 0.000
0.000 3.692 0.000
0.000 0.000 4.412
Ni Mo Se
1 2 1
direct
0.000 0.000 0.000
0.000 0.500 0.500
0.500 0.000 0.500
0.500 0.500 0.000
```

Calculated values
Formation energy from raw total energies (meV per atom): 374
Magnetic moment (μB per atom): 0.000
DOS at the Fermi energy (states/eV/f.u.): 2.8
SG: P4/mmm, No. 123

***

Below is a geometry-optimized Li4Zn2Au5 structure, with properties calculated at the PBE level.

```
Li4Zn2Au5
1.0
7.291 0.000 0.000
0.000 16.602 0.000
0.000 0.000 2.938
Li Zn Au
8 4 10
direct
0.096 0.143 0.000
0.215 0.436 0.000
0.285 0.936 0.000
0.404 0.643 0.000
0.596 0.357 0.000
0.715 0.064 0.000
0.785 0.564 0.000
0.904 0.857 0.000
0.015 0.694 0.000
0.485 0.194 0.000
0.515 0.806 0.000
0.985 0.306 0.000
0.000 0.000 0.500
0.129 0.569 0.500
0.210 0.795 0.500
0.290 0.295 0.500
0.371 0.069 0.500
0.500 0.500 0.500
0.629 0.931 0.500
0.710 0.705 0.500
0.790 0.205 0.500
0.871 0.431 0.500
```

Calculated values
Magnetic moment (μB per atom): 0.000
Formation energy (meV per atom): -455
DOS at the Fermi energy (states/eV/f.u.): 3.5
SG: Pbam, No. 55

***

Below is a geometry-optimized FeAsI6 structure, with properties calculated at the PBE level.

```
FeAsI6
1.0
3.837 -6.594 0.000
3.837 6.594 0.000
-0.110 0.000 6.972
Fe As I
1 1 6
direct
0.000 0.000 0.000
0.000 0.000 0.500
0.001 0.708 0.756
0.291 0.291 0.763
0.292 0.999 0.244
0.708 0.001 0.756
0.709 0.709 0.237
0.999 0.292 0.244
```

Calculated values
Formation energy from raw total energies (meV per atom): -110
Magnetic moment (μB per atom): 0.640
DOS at the Fermi energy (states/eV/f.u.): 0.7
SG: C2/m, No. 12

***

Below is a geometry-optimized Sc2VOs structure, with properties calculated at the PBE level.

```
Sc2VOs
1.0
-3.721 3.721 2.771
3.721 -3.721 2.771
3.721 3.721 -2.771
Sc V Os
4 2 2
direct
0.096 0.625 0.971
0.375 0.346 0.471
0.654 0.125 0.029
0.875 0.904 0.529
0.250 0.750 0.500
0.500 0.500 0.000
0.000 0.000 0.000
0.750 0.250 0.500
```

Calculated values
Magnetic moment (μB per atom): 0.591
Formation energy (meV per atom): 451
DOS at the Fermi energy (states/eV/f.u.): 5.3
Polymorph energy (0 for the lowest one) (eV per atom): 0.5532
SG: I-42d, No. 122

***

Below is a geometry-optimized UMoS2 structure, with properties calculated at the PBE level.

```
UMoS2
1.0
1.922 1.110 7.757
-1.922 1.110 7.757
0.000 -2.219 7.757
U Mo S
1 1 2
direct
0.000 0.000 0.000
0.415 0.415 0.415
0.119 0.119 0.119
0.603 0.603 0.603
```

Calculated values
Formation energy from raw total energies (meV per atom): -485
Magnetic moment (μB per atom): 0.175
DOS at the Fermi energy (states/eV/f.u.): 5.5
Polymorph energy (0 for the lowest one) (eV per atom): 0.3062
SG: R3m, No. 160

***

Below is a geometry-optimized DyHo5Hg6 structure, with properties calculated at the PBE level.

```
DyHo5Hg6
1.0
2.616 -7.879 0.000
2.616 7.879 0.000
0.000 0.000 7.429
Dy Ho Hg
1 5 6
direct
0.000 0.000 0.000
0.000 0.000 0.500
0.333 0.667 0.000
0.334 0.666 0.500
0.666 0.334 0.500
0.667 0.333 0.000
0.167 0.833 0.251
0.167 0.833 0.749
0.500 0.500 0.250
0.500 0.500 0.750
0.833 0.167 0.251
0.833 0.167 0.749
```

Calculated values
Magnetic moment (μB per atom): 0.000
Formation energy (meV per atom): -482
DOS at the Fermi energy (states/eV/f.u.): 10.6
SG: Cmmm, No. 65

***

Below is a geometry-optimized NaSr2Pd structure, with properties calculated at the PBE level.

```
NaSr2Pd
1.0
7.472 -2.114 0.000
7.472 2.114 0.000
-0.544 0.000 9.310
Na Sr Pd
2 4 2
direct
0.131 0.131 0.468
0.869 0.869 0.532
0.270 0.270 0.833
0.469 0.469 0.195
0.531 0.531 0.805
0.730 0.730 0.167
0.096 0.096 0.037
0.904 0.904 0.963
```

Calculated values
Magnetic moment (μB per atom): 0.000
Formation energy (meV per atom): -340
DOS at the Fermi energy (states/eV/f.u.): 2.5
Polymorph energy (0 for the lowest one) (eV per atom): 0.0000
SG: C2/m, No. 12

***

Below is a geometry-optimized ZrHg2Os structure, with properties calculated at the PBE level.

```
ZrHg2Os
1.0
3.664 0.000 0.000
0.000 3.664 0.000
0.000 0.000 5.808
Zr Hg Os
1 2 1
direct
0.000 0.000 0.000
0.500 0.500 0.260
0.500 0.500 0.740
0.000 0.000 0.500
```

Calculated values
Magnetic moment (μB per atom): 0.151
Formation energy (meV per atom): 454
DOS at the Fermi energy (states/eV/f.u.): 3.3
Polymorph energy (0 for the lowest one) (eV per atom): 0.3706
SG: P4/mmm, No. 123

***

Below is a geometry-optimized Pr3Nd2DyEr6 structure, with properties calculated at the PBE level.

```
Pr3Nd2DyEr6
1.0
3.118 -5.399 0.000
3.118 5.399 0.000
-2.071 0.000 11.602
Pr Nd Dy Er
3 2 1 6
direct
0.000 0.000 0.000
0.333 0.667 0.000
0.667 0.333 0.000
0.166 0.834 0.500
0.834 0.166 0.500
0.500 0.500 0.500
0.084 0.417 0.252
0.250 0.250 0.748
0.417 0.084 0.252
0.583 0.916 0.748
0.750 0.750 0.252
0.916 0.583 0.748
```

Calculated values
Magnetic moment (μB per atom): 0.000
Formation energy (meV per atom): 16
DOS at the Fermi energy (states/eV/f.u.): 13.3
SG: C2/m, No. 12

***

Below is a geometry-optimized NdPuSn structure, with properties calculated at the PBE level.

```
NdPuSn
1.0
5.566 0.000 0.000
-2.783 4.821 0.000
0.000 0.000 6.428
Nd Pu Sn
2 2 2
direct
0.333 0.667 0.250
0.667 0.333 0.750
0.000 0.000 0.000
0.000 0.000 0.500
0.333 0.667 0.750
0.667 0.333 0.250
```

Calculated values
Magnetic moment (μB per atom): 2.224
Formation energy (meV per atom): -461
DOS at the Fermi energy (states/eV/f.u.): 7.2
Polymorph energy (0 for the lowest one) (eV per atom): 0.0000
SG: P6_3/mmc, No. 194

***

Below is a geometry-optimized GaPt4 structure, with properties calculated at the PBE level.

```
GaPt4
1.0
4.573 0.000 0.000
0.000 4.573 0.000
0.000 0.000 4.573
Ga Pt
1 4
direct
0.000 0.000 0.000
0.000 0.000 0.500
0.000 0.500 0.000
0.500 0.000 0.000
0.500 0.500 0.500
```

Calculated values
Magnetic moment (μB per atom): 0.000
Formation energy (meV per atom): 778
DOS at the Fermi energy (states/eV/f.u.): 5.0
Polymorph energy (0 for the lowest one) (eV per atom): 1.0536
SG: Pm-3m, No. 221

***

Below is a geometry-optimized NdHo3Tl4 structure, with properties calculated at the PBE level.

```
NdHo3Tl4
1.0
10.828 0.000 0.000
0.000 7.573 0.000
0.000 0.000 5.412
Nd Ho Tl
2 6 8
direct
0.000 0.000 0.000
0.500 0.000 0.000
0.000 0.500 0.000
0.250 0.000 0.499
0.250 0.500 0.499
0.500 0.500 0.000
0.750 0.000 0.501
0.750 0.500 0.501
0.000 0.257 0.500
0.000 0.743 0.500
0.250 0.257 0.999
0.250 0.743 0.999
0.500 0.257 0.500
0.500 0.743 0.500
0.750 0.257 0.001
0.750 0.743 0.001
```

Calculated values
Magnetic moment (μB per atom): 0.000
Formation energy (meV per atom): -341
DOS at the Fermi energy (states/eV/f.u.): 6.2
Polymorph energy (0 for the lowest one) (eV per atom): 0.0000
SG: Pmma, No. 51